The following is a DFT calculation (PBE-GGA) of an optimized crystal structure of MgAlSb2.

Cell: 6.253 6.253 4.270 Å, 74.09 74.09 38.05°
Fractional positions:
Sb  0.989  0.989  0.130
Sb  0.738  0.738  0.650
Mg  0.264  0.264  0.127
Al  0.509  0.509  0.592

Results
Its total DFT energy (no corrections) is -3.432 eV per atom. The calculation puts the formation energy without anion corrections at -0.15 eV/f.u.